# 1
Below is HfP2SF at its PBEsol-relaxed geometry, with properties calculated at the SCAN level.

Cell lengths 3.931, 3.931, 4.991 Å; angles 90.00, 90.00, 90.00 degrees
Space group P4/mmm (No. 123)
One atom of each set of equivalent atoms:
1 Hf 0.000 0.000 0.000 [1 per cell]
2 P 0.000 0.500 0.500 [2 per cell]
3 S 0.500 0.500 0.000 [1 per cell]
4 F 0.500 0.500 0.500 [1 per cell]

- energy relative to the elements, uncorrected (kJ per mole of atoms) = 0.5
- total magnetic moment (Bohr magnetons per cell) = 0.0
- E_tot (eV/atom) = -19.3226

# 2
Below is HfPS2F at its PBEsol-relaxed geometry, with properties calculated at the SCAN level.

Cell lengths 4.563, 4.563, 3.748 Å; angles 90.00, 90.00, 90.00 degrees
Space group P4/mmm (No. 123)
One atom of each set of equivalent atoms:
1 Hf 0.000 0.000 0.000 [1 per cell]
2 P 0.500 0.500 0.000 [1 per cell]
3 S 0.000 0.500 0.500 [2 per cell]
4 F 0.500 0.500 0.500 [1 per cell]

- energy relative to the elements, uncorrected (kJ per mole of atoms) = 11.2
- total magnetic moment (Bohr magnetons per cell) = 0.0
- E_tot (eV/atom) = -19.0572

# 3
Below is HfPtF2 at its PBEsol-relaxed geometry, with properties calculated at the SCAN level.

Cell lengths 2.8856, 2.8856, 29.8579 Å; angles 90.00, 90.00, 120.00 degrees
Space group R-3m (No. 166, hexagonal axes)
One atom of each set of equivalent atoms:
1 Hf 0.0000 0.0000 0.0000 [3 per cell]
2 Pt 0.0000 0.0000 0.5000 [3 per cell]
3 F 0.0000 0.0000 0.0636 [6 per cell]

- energy relative to the elements, uncorrected (kJ per mole of atoms) = -124.1
- total magnetic moment (Bohr magnetons per cell) = 2.4
- E_tot (eV/atom) = -36.2723
- energy relative to the lowest polymorph listed for this composition (meV/atom) = 543

# 4
Below is HfPtF2 at its PBEsol-relaxed geometry, with properties calculated at the SCAN level.

Cell lengths 4.021, 4.021, 14.357 Å; angles 90.00, 90.00, 90.00 degrees
Space group I-42d (No. 122)
One atom of each set of equivalent atoms:
1 Hf 0.000 0.000 0.000 [4 per cell]
2 Pt 0.000 0.000 0.500 [4 per cell]
3 F 0.118 0.250 0.125 [8 per cell]

- energy relative to the elements, uncorrected (kJ per mole of atoms) = -176.4
- total magnetic moment (Bohr magnetons per cell) = 0.0
- E_tot (eV/atom) = -36.8151
- energy relative to the lowest polymorph listed for this composition (meV/atom) = 0

# 5
Below is Rb2HfF6 at its PBEsol-relaxed geometry, with properties calculated at the SCAN level.

Cell lengths 6.0616, 6.0616, 4.7812 Å; angles 90.00, 90.00, 120.00 degrees
Space group P-3m1 (No. 164)
One atom of each set of equivalent atoms:
1 Rb 0.3333 0.6667 0.3068 [2 per cell]
2 Hf 0.0000 0.0000 0.0000 [1 per cell]
3 F 0.1585 0.3170 0.7705 [6 per cell]

- energy relative to the elements, uncorrected (kJ per mole of atoms) = -354.7
- total magnetic moment (Bohr magnetons per cell) = 0.0
- E_tot (eV/atom) = -17.6085

# 6
Below is RbHfF5 at its PBEsol-relaxed geometry, with properties calculated at the SCAN level.

Cell lengths 13.245, 7.864, 7.860 Å; angles 90.00, 90.00, 90.00 degrees
Space group Cmce (No. 64)
One atom of each set of equivalent atoms:
1 Rb 0.203 0.000 0.000 [8 per cell]
2 Hf 0.000 0.162 0.339 [8 per cell]
3 F 0.000 0.063 0.791 [8 per cell]
4 F 0.000 0.210 0.065 [8 per cell]
5 F 0.088 0.000 0.500 [8 per cell]
6 F 0.145 0.214 0.290 [16 per cell]

- energy relative to the elements, uncorrected (kJ per mole of atoms) = -369.4
- total magnetic moment (Bohr magnetons per cell) = 0.0
- E_tot (eV/atom) = -18.2729

# 7
Below is RbHfZn2F at its PBEsol-relaxed geometry, with properties calculated at the SCAN level.

Cell lengths 4.743, 4.743, 4.687 Å; angles 90.00, 90.00, 90.00 degrees
Space group P4/mmm (No. 123)
One atom of each set of equivalent atoms:
1 Rb 0.000 0.000 0.000 [1 per cell]
2 Hf 0.500 0.500 0.000 [1 per cell]
3 Zn 0.000 0.500 0.500 [2 per cell]
4 F 0.000 0.000 0.500 [1 per cell]

- energy relative to the elements, uncorrected (kJ per mole of atoms) = 16.3
- total magnetic moment (Bohr magnetons per cell) = 1.4
- E_tot (eV/atom) = -22.6278

# 8
Below is HfRhW2F at its PBEsol-relaxed geometry, with properties calculated at the SCAN level.

Cell lengths 4.121, 4.121, 4.344 Å; angles 90.00, 90.00, 90.00 degrees
Space group P4/mmm (No. 123)
One atom of each set of equivalent atoms:
1 Hf 0.000 0.000 0.000 [1 per cell]
2 Rh 0.500 0.500 0.000 [1 per cell]
3 W 0.000 0.500 0.500 [2 per cell]
4 F 0.000 0.000 0.500 [1 per cell]

- energy relative to the elements, uncorrected (kJ per mole of atoms) = 35.3
- total magnetic moment (Bohr magnetons per cell) = 0.0
- E_tot (eV/atom) = -47.5066

# 9
Below is Hf3SF at its PBEsol-relaxed geometry, with properties calculated at the SCAN level.

Cell lengths 4.388, 4.388, 4.388 Å; angles 90.00, 90.00, 90.00 degrees
Space group Pm-3m (No. 221)
One atom of each set of equivalent atoms:
1 Hf 0.000 0.000 0.500 [3 per cell]
2 S 0.500 0.500 0.500 [1 per cell]
3 F 0.000 0.000 0.000 [1 per cell]

- energy relative to the elements, uncorrected (kJ per mole of atoms) = -24.8
- total magnetic moment (Bohr magnetons per cell) = 1.1
- E_tot (eV/atom) = -40.4948

# 10
Below is HfS3F at its PBEsol-relaxed geometry, with properties calculated at the SCAN level.

Cell lengths 4.291, 4.291, 4.291 Å; angles 90.00, 90.00, 90.00 degrees
Space group Pm-3m (No. 221)
One atom of each set of equivalent atoms:
1 Hf 0.000 0.000 0.000 [1 per cell]
2 S 0.000 0.500 0.500 [3 per cell]
3 F 0.500 0.500 0.500 [1 per cell]

- energy relative to the elements, uncorrected (kJ per mole of atoms) = 25.0
- total magnetic moment (Bohr magnetons per cell) = 0.0
- E_tot (eV/atom) = -18.7603

# 11
Below is SrHfSF2 at its PBEsol-relaxed geometry, with properties calculated at the SCAN level.

Cell lengths 4.255, 4.255, 4.991 Å; angles 90.00, 90.00, 90.00 degrees
Space group P4/mmm (No. 123)
One atom of each set of equivalent atoms:
1 Sr 0.000 0.000 0.000 [1 per cell]
2 Hf 0.500 0.500 0.500 [1 per cell]
3 S 0.500 0.500 0.000 [1 per cell]
4 F 0.000 0.500 0.500 [2 per cell]

- energy relative to the elements, uncorrected (kJ per mole of atoms) = -236.5
- total magnetic moment (Bohr magnetons per cell) = 0.0
- E_tot (eV/atom) = -22.7828

# 12
Below is HfSbF2 at its PBEsol-relaxed geometry, with properties calculated at the SCAN level.

Cell lengths 6.225, 6.225, 6.225 Å; angles 90.00, 90.00, 90.00 degrees
Space group Fm-3m (No. 225)
One atom of each set of equivalent atoms:
1 Hf 0.000 0.000 0.000 [4 per cell]
2 Sb 0.000 0.000 0.500 [4 per cell]
3 F 0.250 0.250 0.250 [8 per cell]

- energy relative to the elements, uncorrected (kJ per mole of atoms) = -110.9
- total magnetic moment (Bohr magnetons per cell) = 0.0
- E_tot (eV/atom) = -27.9025